No. 1
An optimized crystal structure of TmRuC, computed with PBE.

The space group is C2/m (No. 12) and the conventional cell measures 10.502, 3.245 and 5.699 Å, with angles of 90.00, 106.79 and 90.00 degrees. Symmetry generates all atoms from Tm at (0.110, 0.000, 0.331), Ru at (0.153, 0.500, 0.866) and C at (0.240, 0.000, 0.759).

The energy above the most stable polymorph in this dataset is 0.038 eV/atom. For the volume, the calculation gives 15.5 Å³ per atom.

No. 2
An optimized crystal structure of TmRu2C, computed with PBE.

The space group is Cmmm (No. 65) and the conventional cell measures 4.775, 7.952 and 3.158 Å, with angles of 90.00, 90.00 and 90.00 degrees. Symmetry generates all atoms from Tm at (0.000, 0.000, 0.000), Ru at (0.000, 0.336, 0.500) and C at (0.000, 0.500, 0.000).

The energy above the most stable polymorph in this dataset is 0.000 eV/atom. For the volume, the calculation gives 15.0 Å³ per atom.

No. 3
An optimized crystal structure of TmRuC2, computed with PBE.

The space group is R-3m (No. 166, hexagonal axes) and the conventional cell measures 3.2625, 3.2625 and 15.5476 Å, with angles of 90.00, 90.00 and 120.00 degrees. Symmetry generates all atoms from Tm at (0.0000, 0.0000, 0.0000), Ru at (0.0000, 0.0000, 0.5000) and C at (0.0000, 0.0000, 0.2363).

The energy above the most stable polymorph in this dataset is 0.369 eV/atom. For the volume, the calculation gives 11.9 Å³ per atom.

Number 1: DOS at the Fermi energy 2.02 states/eV/f.u., total magnetic moment 0.00 Bohr magnetons per cell, ΔE_f -0.234 eV per atom. Number 2: DOS at the Fermi energy 2.29 states/eV/f.u., total magnetic moment 0.00 Bohr magnetons per cell, ΔE_f -0.115 eV per atom. Number 3: DOS at the Fermi energy 1.10 states/eV/f.u., total magnetic moment 0.00 Bohr magnetons per cell, ΔE_f 0.159 eV per atom.